No. 1
# TbAs2Au

A relaxed TbAs2Au crystal (PBE, the Alexandria database).

Computed properties:
The density of states at the Fermi level comes out at 3.620 states/eV per cell. Its crystal system is trigonal. The formation energy comes out at -0.45 eV per atom. The calculation puts the total energy at -19.02 eV/cell. As for the space group: R-3m (166). The spin magnetization is 0.0000 μB per atom.

Unit cell a=6.192 b=6.192 c=6.192 alpha=40.16 beta=40.16 gamma=40.16
Atoms (fractional coordinates):
Tb 0.000 0.000 0.000
As 0.243 0.243 0.243
As 0.757 0.757 0.757
Au 0.500 0.500 0.500

***

No. 2
# TbAsAu

A relaxed TbAsAu crystal (PBE, the Alexandria database).

Computed properties:
The density of states at the Fermi level comes out at 7.692 states/eV per cell. Its crystal system is tetragonal. The formation energy comes out at -0.56 eV per atom. The calculation puts the total energy at -56.90 eV/cell. As for the space group: P4_2/m (84). The spin magnetization is 0.0000 μB per atom.

Unit cell a=7.998 b=7.998 c=4.223 alpha=90.00 beta=90.00 gamma=90.00
Atoms (fractional coordinates):
Tb 0.072 0.726 0.000
Tb 0.274 0.072 0.500
Tb 0.726 0.928 0.500
Tb 0.928 0.274 0.000
As 0.143 0.423 0.500
As 0.423 0.857 0.000
As 0.577 0.143 0.000
As 0.857 0.577 0.500
Au 0.342 0.362 0.000
Au 0.362 0.658 0.500
Au 0.638 0.342 0.500
Au 0.658 0.638 0.000

***

Number 1 is which compound?
TbAs2Au